No. 1
This record from Alexandria describes crystalline TbTc2Mo at its relaxed geometry. The functional is PBE.

Its energy relative to the elements is 0.062 eV per atom. The total DFT energy (no corrections) comes out at -8.99 eV per atom.

a b c (Å): 3.202 3.202 6.899
angles (deg): 90.00 90.00 90.00
Fractional positions:
Tb: 0.500 0.500 0.500
Mo: 0.500 0.500 0.000
Tc: 0.000 0.000 0.214
Tc: 0.000 0.000 0.786

***

No. 2
This record from Alexandria describes crystalline NbAlV2 at its relaxed geometry. The functional is PBE.

Its energy relative to the elements is -0.142 eV per atom. The total DFT energy (no corrections) comes out at -8.15 eV per atom.

a b c (Å): 3.397 4.227 4.227
angles (deg): 90.00 90.00 90.00
Fractional positions:
Al: 0.500 0.500 0.500
V: 0.000 0.500 0.000
V: 0.000 0.000 0.500
Nb: 0.500 0.000 0.000

***

No. 3
This record from Alexandria describes crystalline LiLa2HPd6 at its relaxed geometry. The functional is PBE.

The total DFT energy (no corrections) comes out at -5.25 eV per atom.

a b c (Å): 6.776 5.855 6.776
angles (deg): 64.04 51.21 89.77
Fractional positions:
Pd: 0.268 0.232 0.037
Pd: 0.732 0.268 0.963
Pd: 0.268 0.732 0.037
La: 0.733 0.266 0.470
Li: 0.000 0.000 0.000
Pd: 0.767 0.732 0.537
La: 0.267 0.734 0.530
H: 0.500 0.500 0.000
Pd: 0.233 0.268 0.463
Pd: 0.732 0.768 0.963

***

No. 4
This record from Alexandria describes crystalline Th4Tl3Zn at its relaxed geometry. The functional is PBE.

Its energy relative to the elements is -0.140 eV per atom. The total DFT energy (no corrections) comes out at -4.90 eV per atom.

a b c (Å): 3.530 3.530 18.041
angles (deg): 90.00 90.00 90.00
Fractional positions:
Th: 0.000 0.000 0.629
Th: 0.000 0.000 0.890
Th: 0.000 0.000 0.371
Tl: 0.500 0.500 0.500
Th: 0.000 0.000 0.110
Tl: 0.500 0.500 0.758
Zn: 0.500 0.500 0.000
Tl: 0.500 0.500 0.242

***

No. 5
This record from Alexandria describes crystalline EuGdZnPd at its relaxed geometry. The functional is PBE.

Its energy relative to the elements is -0.488 eV per atom. The total DFT energy (no corrections) comes out at -8.19 eV per atom.

a b c (Å): 5.120 5.120 5.120
angles (deg): 60.00 60.00 60.00
Site moments in Bohr magnetons follow the coordinates.
Fractional positions:
Zn: 0.750 0.750 0.750  0.01
Gd: 0.000 0.000 0.000  7.03
Eu: 0.500 0.500 0.500  6.78
Pd: 0.250 0.250 0.250  -0.01

***

No. 6
This record from Alexandria describes crystalline ZnCu at its relaxed geometry. The functional is PBE.

Its energy relative to the elements is 0.717 eV per atom. The total DFT energy (no corrections) comes out at -1.97 eV per atom.

a b c (Å): 6.796 6.796 6.796
angles (deg): 90.00 90.00 90.00
Fractional positions:
Cu: 0.250 0.500 0.000
Zn: 0.000 0.500 0.250
Zn: 0.500 0.250 0.000
Zn: 0.250 0.000 0.500
Cu: 0.500 0.000 0.750
Zn: 0.000 0.500 0.750
Cu: 0.500 0.000 0.250
Zn: 0.750 0.000 0.500
Cu: 0.000 0.750 0.500
Zn: 0.500 0.750 0.000
Cu: 0.750 0.500 0.000
Cu: 0.000 0.250 0.500

***

No. 7
This record from Alexandria describes crystalline Nb4Mo3W at its relaxed geometry. The functional is PBE.

Its energy relative to the elements is 0.125 eV per atom. The total DFT energy (no corrections) comes out at -10.59 eV per atom.

a b c (Å): 5.291 5.467 9.558
angles (deg): 90.00 90.00 90.00
Fractional positions:
Mo: 0.570 0.204 0.751
Nb: 0.570 0.704 0.751
Nb: 0.800 0.450 0.500
W: 0.302 0.552 0.500
Nb: 0.816 0.950 0.500
Mo: 0.070 0.796 0.251
Mo: 0.570 0.204 0.249
Mo: 0.070 0.796 0.749
Mo: 0.817 0.947 0.000
Nb: 0.316 0.050 0.000
Nb: 0.070 0.296 0.749
W: 0.802 0.448 0.000
Nb: 0.070 0.296 0.251
Nb: 0.300 0.550 0.000
Mo: 0.317 0.053 0.500
Nb: 0.570 0.704 0.249

***

No. 8
This record from Alexandria describes crystalline Na2Zn4Sn3Ge at its relaxed geometry. The functional is PBE.

Its energy relative to the elements is -0.060 eV per atom. The total DFT energy (no corrections) comes out at -2.50 eV per atom.

a b c (Å): 4.389 4.389 11.908
angles (deg): 90.00 90.00 90.00
Fractional positions:
Na: 0.000 0.500 0.746
Sn: 0.500 0.000 0.860
Zn: 0.500 0.500 0.000
Sn: 0.000 0.000 0.500
Zn: 0.000 0.000 0.000
Zn: 0.500 0.000 0.640
Ge: 0.500 0.500 0.500
Zn: 0.000 0.500 0.360
Sn: 0.000 0.500 0.140
Na: 0.500 0.000 0.254